A relaxed CrGePbO5 crystal. Source: Alexandria via LeMat-Bulk, functional PBE+U.

Results
* DFT total energy: -6.599 eV/atom
* magnetization: 4.00 μB per cell

```
16
Lattice="3.451 -4.552 0.000 3.451 4.552 0.000 -2.934 0.000 6.620" Properties=species:S:1:pos:R:3 pbc="T T T"
Cr 0.000 0.000 0.000
Cr -1.467 0.000 3.310
Ge 1.251 1.678 4.965
Ge 2.717 -1.678 1.655
Pb 2.717 1.583 1.655
Pb 1.251 -1.583 4.965
O 2.717 3.998 1.655
O 0.136 2.679 5.942
O 0.405 0.583 3.848
O 2.365 2.679 3.988
O 1.872 -0.583 0.539
O 2.096 0.583 6.081
O 1.603 -2.679 2.632
O 3.563 -0.583 2.771
O 3.832 -2.679 0.678
O 1.251 -3.998 4.965
```